Record 1
PBE BaLa2Cd, relaxed; energy relative to the lowest polymorph listed for this composition = 0.524 eV per formula unit; total magnetization = 0.00 μB/f.u.; N(E_F) = 1.360 states/eV/atom; symmetry = No. 139; ΔE_f = 0.025 eV/atom; V = 35.409 Å³/atom
1.0
6.4589 0.0011 0.0000
2.3456 6.0179 0.0000
-4.4022 -3.0095 3.6442
Cd Ba La
1 1 2
Direct
0.7500 0.2500 0.5000 Cd
0.2500 0.7500 0.5000 Ba
0.0000 0.0000 0.0000 La
0.5000 0.5000 0.0000 La

Record 2
PBE Ca2Pd5Au5, relaxed; total magnetization = 0.00 μB/f.u.; N(E_F) = 0.456 states/eV/atom; symmetry = No. 47; ΔE_f = -0.457 eV/atom; V = 19.816 Å³/atom
1.0
-2.6090 0.9982 -3.6113
0.6792 -5.0887 -1.8972
-7.7193 -2.8190 4.7977
Ca Pd Au
2 5 5
Direct
0.0000 0.5000 0.0000 Ca
0.0000 0.0000 0.5000 Ca
0.5000 0.5000 0.5000 Pd
0.5000 0.7500 0.2523 Pd
0.5000 0.2500 0.7477 Pd
0.5000 0.2500 0.2523 Pd
0.5000 0.7500 0.7477 Pd
0.0000 0.5000 0.3330 Au
0.0000 0.0000 0.8253 Au
0.0000 0.0000 0.1747 Au
0.0000 0.5000 0.6670 Au
0.5000 0.0000 0.0000 Au

Record 3
PBE TlZnSn, relaxed; energy relative to the lowest polymorph listed for this composition = 0.134 eV per formula unit; total magnetization = 0.00 μB/f.u.; N(E_F) = 0.222 states/eV/atom; symmetry = No. 156; ΔE_f = 0.111 eV/atom; V = 27.020 Å³/atom
1.0
4.7045 0.0000 0.0000
-2.3522 4.0742 0.0000
0.0000 0.0000 4.2291
Zn Tl Sn
1 1 1
Direct
0.6667 0.3333 0.1683 Zn
0.3333 0.6667 0.6661 Tl
0.0000 0.0000 0.1656 Sn

Please write out number 3 again, unchanged.
PBE TlZnSn, relaxed; energy relative to the lowest polymorph listed for this composition = 0.134 eV per formula unit; total magnetization = 0.00 μB/f.u.; N(E_F) = 0.222 states/eV/atom; symmetry = No. 156; ΔE_f = 0.111 eV/atom; V = 27.020 Å³/atom
1.0
4.7045 0.0000 0.0000
-2.3522 4.0742 0.0000
0.0000 0.0000 4.2291
Zn Tl Sn
1 1 1
Direct
0.6667 0.3333 0.1683 Zn
0.3333 0.6667 0.6661 Tl
0.0000 0.0000 0.1656 Sn

Question: Number 2 is which compound?
Answer: Ca2Pd5Au5

Question: Which of these has the highest ΔE_f?
Answer: TlZnSn